No. 1
Entry from the Alexandria database: crystalline Pr4YTm7 at its relaxed geometry (GGA-PBE).

Computed properties:
Fermi-level density of states (states/eV/atom): 1.395
E_tot (eV per atom): -4.714
Magnetization (μB/f.u.): 0.00
V (Å³ per cell): 386
E_form (meV/atom): 26.6

```
12
Lattice="7.131 0.000 0.000 3.547 7.147 0.000 1.751 1.789 7.576" Properties=species:S:1:pos:R:3 pbc="T T T"
Pr 1.768 1.810 2.522
Pr 5.321 5.336 2.507
Pr 7.107 3.600 5.069
Pr 10.660 7.126 5.054
Y 3.565 0.000 0.000
Tm 0.000 0.000 0.000
Tm 3.536 3.560 5.074
Tm 5.306 5.375 7.566
Tm 7.091 7.162 5.058
Tm 5.337 1.774 2.518
Tm 7.123 3.562 0.010
Tm 8.893 5.376 2.502
```

No. 2
Entry from the Alexandria database: crystalline PrY2Tm5 at its relaxed geometry (GGA-PBE).

Computed properties:
Fermi-level density of states (states/eV/atom): 1.454
E_tot (eV per atom): -4.980
Magnetization (μB/f.u.): 0.00
V (Å³ per cell): 499
E_form (meV/atom): 28.6

```
16
Lattice="7.078 0.000 0.000 0.000 7.078 0.000 0.000 0.000 9.963" Properties=species:S:1:pos:R:3 pbc="T T T"
Pr 0.000 0.000 0.000
Pr 3.539 3.539 4.981
Y 0.000 3.539 0.000
Y 0.000 3.539 4.981
Y 3.539 0.000 0.000
Y 3.539 0.000 4.981
Tm 0.000 0.000 4.981
Tm 1.770 1.770 2.491
Tm 1.770 1.770 7.472
Tm 1.770 5.309 2.491
Tm 1.770 5.309 7.472
Tm 3.539 3.539 0.000
Tm 5.309 1.770 2.491
Tm 5.309 1.770 7.472
Tm 5.309 5.309 2.491
Tm 5.309 5.309 7.472
```

No. 3
Entry from the Alexandria database: crystalline PrYTmZn at its relaxed geometry (GGA-PBE).

Computed properties:
Fermi-level density of states (states/eV/atom): 1.219
E_tot (eV per atom): -4.222
Magnetization (μB/f.u.): 0.00
V (Å³ per cell): 445
E_form (meV/atom): 25.5

```
16
Lattice="7.632 0.000 0.000 0.000 7.632 0.000 0.000 0.000 7.632" Properties=species:S:1:pos:R:3 pbc="T T T"
Pr 0.000 0.000 0.000
Pr 0.000 3.816 3.816
Pr 3.816 0.000 3.816
Pr 3.816 3.816 0.000
Y 0.000 0.000 3.816
Y 0.000 3.816 0.000
Y 3.816 0.000 0.000
Y 3.816 3.816 3.816
Tm 1.908 1.908 1.908
Tm 1.908 5.724 5.724
Tm 5.724 1.908 5.724
Tm 5.724 5.724 1.908
Zn 1.908 1.908 5.724
Zn 1.908 5.724 1.908
Zn 5.724 1.908 1.908
Zn 5.724 5.724 5.724
```

No. 4
Entry from the Alexandria database: crystalline PrYTmZn at its relaxed geometry (GGA-PBE).

Computed properties:
Fermi-level density of states (states/eV/atom): 1.034
E_tot (eV per atom): -4.419
Magnetization (μB/f.u.): 0.00
V (Å³ per cell): 112
E_form (meV/atom): -172.2

```
4
Lattice="3.575 0.000 0.000 0.000 3.575 0.000 0.000 0.000 8.787" Properties=species:S:1:pos:R:3 pbc="T T T"
Pr 0.000 0.000 0.000
Y 1.787 1.787 6.104
Tm 1.787 1.787 2.605
Zn 0.000 0.000 4.299
```

Please write out number 3 again, unchanged.
Entry from the Alexandria database: crystalline PrYTmZn at its relaxed geometry (GGA-PBE).

Computed properties:
Fermi-level density of states (states/eV/atom): 1.219
E_tot (eV per atom): -4.222
Magnetization (μB/f.u.): 0.00
V (Å³ per cell): 445
E_form (meV/atom): 25.5

```
16
Lattice="7.632 0.000 0.000 0.000 7.632 0.000 0.000 0.000 7.632" Properties=species:S:1:pos:R:3 pbc="T T T"
Pr 0.000 0.000 0.000
Pr 0.000 3.816 3.816
Pr 3.816 0.000 3.816
Pr 3.816 3.816 0.000
Y 0.000 0.000 3.816
Y 0.000 3.816 0.000
Y 3.816 0.000 0.000
Y 3.816 3.816 3.816
Tm 1.908 1.908 1.908
Tm 1.908 5.724 5.724
Tm 5.724 1.908 5.724
Tm 5.724 5.724 1.908
Zn 1.908 1.908 5.724
Zn 1.908 5.724 1.908
Zn 5.724 1.908 1.908
Zn 5.724 5.724 5.724
```

- What is the V in the fourth record?
  112 Å³ per cell

- Which formula does entry 3 have?
  PrYTmZn